[1]
! K3Ag2Au2 PBE-GGA relaxed; values from VASP
! **Energy of formation from the pure elements**: -0.157 eV/atom
&SYSTEM
  ibrav = 0, nat = 28, ntyp = 3
/
ATOMIC_SPECIES
K 39.10 K.upf
Ag 107.87 Ag.upf
Au 196.97 Au.upf
CELL_PARAMETERS angstrom
6.313 0.000 0.000
0.000 9.261 0.000
0.000 0.000 14.773
ATOMIC_POSITIONS angstrom
K 0.751 1.212 1.525
K 0.751 1.212 5.861
K 0.751 3.419 8.911
K 0.751 3.419 13.248
K 2.157 6.727 11.079
K 2.157 7.164 3.693
K 4.156 2.097 11.079
K 4.156 2.534 3.693
K 5.562 5.842 1.525
K 5.562 5.842 5.861
K 5.562 8.049 8.911
K 5.562 8.049 13.248
Ag 2.421 0.197 8.619
Ag 2.421 0.197 13.539
Ag 2.421 4.433 1.233
Ag 2.421 4.433 6.153
Ag 3.893 4.827 8.619
Ag 3.893 4.827 13.539
Ag 3.893 9.064 1.233
Ag 3.893 9.064 6.153
Au 1.185 0.676 11.079
Au 1.185 3.954 3.693
Au 2.477 6.946 0.000
Au 2.477 6.946 7.386
Au 3.837 2.315 0.000
Au 3.837 2.315 7.386
Au 5.129 5.307 11.079
Au 5.129 8.585 3.693

[2]
! K3Ag2Au3 PBE-GGA relaxed; values from VASP
! **Energy of formation from the pure elements**: -0.170 eV/atom
&SYSTEM
  ibrav = 0, nat = 32, ntyp = 3
/
ATOMIC_SPECIES
K 39.10 K.upf
Ag 107.87 Ag.upf
Au 196.97 Au.upf
CELL_PARAMETERS angstrom
8.902 0.000 0.000
0.000 16.631 0.000
0.000 0.000 6.501
ATOMIC_POSITIONS angstrom
K 0.238 1.754 0.736
K 0.238 6.561 0.736
K 1.084 12.473 2.677
K 3.367 4.158 5.927
K 4.213 10.070 3.986
K 4.213 14.876 3.986
K 4.689 1.754 2.515
K 4.689 6.561 2.515
K 5.536 12.473 0.573
K 7.818 4.158 3.824
K 8.664 10.070 5.765
K 8.664 14.876 5.765
Ag 1.641 1.645 4.007
Ag 1.641 6.670 4.007
Ag 2.810 9.960 0.757
Ag 2.810 14.986 0.757
Ag 6.092 1.645 5.744
Ag 6.092 6.670 5.744
Ag 7.261 9.960 2.493
Ag 7.261 14.986 2.493
Au 1.019 9.091 2.643
Au 1.019 15.855 2.643
Au 2.065 4.158 2.788
Au 2.387 12.473 6.038
Au 3.432 0.775 5.893
Au 3.432 7.540 5.893
Au 5.470 9.091 0.607
Au 5.470 15.855 0.607
Au 6.516 4.158 0.463
Au 6.838 12.473 3.713
Au 7.884 0.775 3.858
Au 7.884 7.540 3.858

[3]
! K3AgAu8 PBE-GGA relaxed; values from VASP
! **Energy of formation from the pure elements**: -0.216 eV/atom
&SYSTEM
  ibrav = 0, nat = 12, ntyp = 3
/
ATOMIC_SPECIES
K 39.10 K.upf
Ag 107.87 Ag.upf
Au 196.97 Au.upf
CELL_PARAMETERS angstrom
2.859 1.651 9.408
-2.859 1.651 9.408
0.000 -3.301 9.408
ATOMIC_POSITIONS angstrom
K 0.000 0.000 0.000
K 0.000 0.000 3.570
K 0.000 0.000 17.580
Ag 0.000 0.000 14.046
Au 0.000 -1.643 6.415
Au -1.423 0.822 6.415
Au -1.417 -0.818 11.240
Au 0.000 0.000 8.828
Au 1.423 0.822 6.415
Au 1.417 -0.818 11.240
Au 0.000 1.636 11.240
Au 0.000 0.000 22.947

[4]
! KAg5Au2 PBE-GGA relaxed; values from VASP
! **Energy of formation from the pure elements**: 0.028 eV/atom
&SYSTEM
  ibrav = 0, nat = 8, ntyp = 3
/
ATOMIC_SPECIES
K 39.10 K.upf
Ag 107.87 Ag.upf
Au 196.97 Au.upf
CELL_PARAMETERS angstrom
-2.125 4.060 5.202
2.125 -4.060 5.202
2.125 4.060 -5.202
ATOMIC_POSITIONS angstrom
K 0.000 0.000 0.000
Ag 2.125 2.599 -1.503
Ag 2.125 2.599 1.503
Ag 0.000 4.060 0.000
Ag 0.000 1.461 3.699
Ag 0.000 1.461 6.704
Au 2.125 0.000 2.456
Au 0.000 4.060 2.746

[5]
! KAg2Au2 PBE-GGA relaxed; values from VASP
! **Energy of formation from the pure elements**: -0.116 eV/atom
! **Energy above the lowest structure with this stoichiometry**: 0.000 eV per atom
&SYSTEM
  ibrav = 0, nat = 10, ntyp = 3
/
ATOMIC_SPECIES
K 39.10 K.upf
Ag 107.87 Ag.upf
Au 196.97 Au.upf
CELL_PARAMETERS angstrom
8.558 0.000 0.000
0.000 8.558 0.000
0.000 0.000 2.930
ATOMIC_POSITIONS angstrom
K 0.000 0.000 0.000
K 4.279 4.279 0.000
Ag 1.014 3.266 0.000
Ag 3.266 7.545 0.000
Ag 5.293 1.014 0.000
Ag 7.545 5.293 0.000
Au 1.514 5.793 1.465
Au 2.766 1.514 1.465
Au 5.793 7.045 1.465
Au 7.045 2.766 1.465

[6]
! KAg2Au2 PBE-GGA relaxed; values from VASP
! **Energy of formation from the pure elements**: -0.083 eV/atom
! **Energy above the lowest structure with this stoichiometry**: 0.032 eV per atom
&SYSTEM
  ibrav = 0, nat = 10, ntyp = 3
/
ATOMIC_SPECIES
K 39.10 K.upf
Ag 107.87 Ag.upf
Au 196.97 Au.upf
CELL_PARAMETERS angstrom
8.548 0.000 0.000
0.000 8.548 0.000
0.000 0.000 2.936
ATOMIC_POSITIONS angstrom
K 0.000 0.000 0.000
K 4.274 4.274 0.000
Ag 1.482 2.792 1.468
Ag 2.792 7.066 1.468
Ag 5.756 1.482 1.468
Ag 7.066 5.756 1.468
Au 1.042 5.316 0.000
Au 3.232 1.042 0.000
Au 5.316 7.506 0.000
Au 7.506 3.232 0.000

[7]
! K2AgAu PBE-GGA relaxed; values from VASP
! **Energy of formation from the pure elements**: -0.141 eV/atom
! **Energy above the lowest structure with this stoichiometry**: 0.025 eV per atom
&SYSTEM
  ibrav = 0, nat = 4, ntyp = 3
/
ATOMIC_SPECIES
K 39.10 K.upf
Ag 107.87 Ag.upf
Au 196.97 Au.upf
CELL_PARAMETERS angstrom
2.429 1.402 7.816
-2.429 1.402 7.816
0.000 -2.804 7.816
ATOMIC_POSITIONS angstrom
K 0.000 0.000 0.000
K 0.000 0.000 4.050
Ag 0.000 0.000 17.664
Au 0.000 0.000 9.832

[8]
! K6AgAu PBE-GGA relaxed; values from VASP
! **Energy of formation from the pure elements**: -0.051 eV/atom
&SYSTEM
  ibrav = 0, nat = 8, ntyp = 3
/
ATOMIC_SPECIES
K 39.10 K.upf
Ag 107.87 Ag.upf
Au 196.97 Au.upf
CELL_PARAMETERS angstrom
4.513 0.000 0.000
0.000 6.593 7.256
0.000 -6.593 7.256
ATOMIC_POSITIONS angstrom
K 0.000 0.000 0.000
K 0.000 -1.983 10.237
K 0.000 1.983 10.237
K 2.256 -2.749 6.739
K 2.256 0.000 3.948
K 2.256 2.749 6.739
Ag 0.000 0.000 6.914
Au 2.256 0.000 8.629

[9]
! KAg2Au2 PBE-GGA relaxed; values from VASP
! **Energy of formation from the pure elements**: -0.027 eV/atom
! **Energy above the lowest structure with this stoichiometry**: 0.089 eV per atom
&SYSTEM
  ibrav = 0, nat = 10, ntyp = 3
/
ATOMIC_SPECIES
K 39.10 K.upf
Ag 107.87 Ag.upf
Au 196.97 Au.upf
CELL_PARAMETERS angstrom
-2.134 2.134 12.988
2.134 -2.134 12.988
2.134 2.134 -12.988
ATOMIC_POSITIONS angstrom
K 0.000 0.000 3.286
K 0.000 0.000 22.689
Ag 2.134 0.000 0.000
Ag 0.000 0.000 8.354
Ag 0.000 2.134 0.000
Ag 0.000 0.000 17.622
Au 2.134 0.000 6.494
Au 0.000 0.000 11.084
Au 0.000 0.000 14.892
Au 0.000 2.134 6.494

[10]
! K2AgAu PBE-GGA relaxed; values from VASP
! **Energy of formation from the pure elements**: -0.057 eV/atom
! **Energy above the lowest structure with this stoichiometry**: 0.110 eV per atom
&SYSTEM
  ibrav = 0, nat = 4, ntyp = 3
/
ATOMIC_SPECIES
K 39.10 K.upf
Ag 107.87 Ag.upf
Au 196.97 Au.upf
CELL_PARAMETERS angstrom
4.212 -2.426 0.000
4.212 2.426 0.000
-2.795 0.000 7.943
ATOMIC_POSITIONS angstrom
K 1.405 0.000 1.905
K 4.224 0.000 6.038
Ag -1.398 0.000 3.971
Au 4.212 0.000 0.000

[11]
! K2AgAu PBE-GGA relaxed; values from VASP
! **Energy of formation from the pure elements**: -0.167 eV/atom
! **Energy above the lowest structure with this stoichiometry**: 0.000 eV per atom
&SYSTEM
  ibrav = 0, nat = 8, ntyp = 3
/
ATOMIC_SPECIES
K 39.10 K.upf
Ag 107.87 Ag.upf
Au 196.97 Au.upf
CELL_PARAMETERS angstrom
4.885 -4.324 0.000
4.885 4.324 0.000
0.000 0.000 5.902
ATOMIC_POSITIONS angstrom
K 1.743 1.237 1.475
K 1.743 -1.237 4.426
K 8.027 1.237 1.475
K 8.027 -1.237 4.426
Ag 4.885 0.000 0.000
Ag 4.885 0.000 2.951
Au 4.885 2.478 1.475
Au 4.885 -2.478 4.426